The following is a DFT calculation (PBE) of an optimized crystal structure of K2PW.

The structure in POSCAR format:
```
K2PW
1.0
2.806 0.000 0.000
0.000 2.806 0.000
0.000 0.000 11.324
K P W
2 1 1
Direct
0.000 0.000 0.222
0.000 0.000 0.778
0.500 0.500 0.000
0.500 0.500 0.500
```

Computed properties:
**Crystal system**: tetragonal
**DFT formation energy**: 94 kJ/mol of atoms
**Calculated total energy**: -4.162 eV/atom